# MnBeCr2 | the Alexandria database | meta-GGA SCAN | single point on PBEsol structure
# * DOS at the Fermi energy: 2.00 states/eV per cell
# * E_form: -0.07 eV/f.u.
# * symmetry: No. 71
# * mass density: 6.84 g cm⁻³
data_MnBeCr2
_cell_length_a 4.543
_cell_length_b 4.543
_cell_length_c 4.543
_cell_angle_alpha 144.43
_cell_angle_beta 130.90
_cell_angle_gamma 62.09
_symmetry_space_group_name_H-M 'P 1'
_symmetry_Int_Tables_number 1
loop_
_symmetry_equiv_pos_as_xyz
'x,y,z'
loop_
_atom_site_label
_atom_site_fract_x
_atom_site_fract_y
_atom_site_fract_z
_atom_site_occupancy
Mn1 0.000 0.000 0.000 1
Be1 0.500 0.500 0.000 1
Cr1 0.242 0.742 0.500 1
Cr2 0.758 0.258 0.500 1